Entry from the Alexandria database: an optimized crystal structure of CsSCl3 (GGA-PBEsol).

Computed properties:
As for the energy: -15.4 eV/cell. The raw formation energy is -4.073 eV per formula unit. As for the magnetic moment: 0.00 μB/cell.

Cell lengths 5.0196, 5.0196, 5.0196 Å; angles 90.00, 90.00, 90.00 degrees
Last column: nearest neighbours and their distance in Å.
Space group Pm-3m (No. 221)
Unique sites:
Cs1 0.0000 0.0000 0.0000 [1 per cell]  12 Cl 3.55
S1 0.5000 0.5000 0.5000 [1 per cell]  6 Cl 2.51
Cl1 0.0000 0.5000 0.5000 [3 per cell]  2 S 2.51



Entry from the Alexandria database: an optimized crystal structure of ZnP2CCl (GGA-PBEsol).

Computed properties:
As for the energy: -14.8 eV/cell. The raw formation energy is 9.977 eV per formula unit. As for the magnetic moment: 0.55 μB/cell.

Cell lengths 4.5899, 4.5899, 4.5983 Å; angles 90.00, 90.00, 90.00 degrees
Last column: nearest neighbours and their distance in Å.
Space group P4/mmm (No. 123)
Unique sites:
Zn1 0.0000 0.0000 0.0000 [1 per cell]  4 P 2.29, 2 Cl 2.30
P1 0.0000 0.5000 0.0000 [2 per cell]  2 Zn 2.29
C1 0.5000 0.5000 0.5000 [1 per cell]  4 Cl 3.25, 8 P 3.25
Cl1 0.0000 0.0000 0.5000 [1 per cell]  2 Zn 2.30